This record from Alexandria describes a relaxed MnAsI2O crystal. The functional is PBE with a Hubbard U.

a = 5.9250 Å, b = 5.9250 Å, c = 3.8473 Å
α = 90.00°, β = 90.00°, γ = 90.00°
With the nearest neighbours (Å) after each atom.
Element x y z (fractional)
I1 0.0000 0.5000 0.0000  2 As 2.96
I2 0.5000 0.0000 0.0000  2 As 2.96
As1 0.0000 0.0000 0.0000  2 O 1.92
Mn1 0.5000 0.5000 0.5000  8 I 3.53, 2 Mn 3.85
O1 0.0000 0.0000 0.5000  2 As 1.92

Computed properties:
DFT total energy = -4.08 eV/atom



This record from Alexandria describes a relaxed MnAsIO2 crystal. The functional is PBE with a Hubbard U.

a = 3.9810 Å, b = 3.9810 Å, c = 5.9823 Å
α = 90.00°, β = 90.00°, γ = 90.00°
With the nearest neighbours (Å) after each atom.
Element x y z (fractional)
I1 0.0000 0.0000 0.5000  4 Mn 2.82, 2 As 2.99
As1 0.0000 0.0000 0.0000  4 O 1.99
Mn1 0.5000 0.5000 0.5000  4 I 2.82
O1 0.0000 0.5000 0.0000  2 As 1.99
O2 0.5000 0.0000 0.0000  2 As 1.99

Computed properties:
DFT total energy = -4.85 eV/atom